# 1
Density functional theory data (PBE-GGA) for an optimized crystal structure of CdI2. Values from VASP.

Cell and atoms, written as Quantum ESPRESSO input:
```
&SYSTEM
  ibrav = 0, nat = 24, ntyp = 2
/
ATOMIC_SPECIES
Cd 112.41 Cd.upf
I 126.90 I.upf
ATOMIC_POSITIONS angstrom
Cd 0.000 0.000 0.000
Cd 0.000 0.000 15.000
Cd 0.000 0.000 30.002
Cd 0.000 0.000 45.004
Cd 0.000 2.492 7.499
Cd 0.000 2.492 22.500
Cd 2.158 1.246 37.505
Cd 2.158 1.246 52.505
I 0.000 0.000 9.229
I 0.000 0.000 24.229
I 0.000 0.000 35.775
I 0.000 0.000 50.775
I 0.000 2.492 1.729
I 0.000 2.492 16.730
I 0.000 2.492 31.732
I 0.000 2.492 39.234
I 0.000 2.492 46.734
I 0.000 2.492 54.235
I 2.158 1.246 5.769
I 2.158 1.246 13.271
I 2.158 1.246 20.770
I 2.158 1.246 28.273
I 2.158 1.246 43.274
I 2.158 1.246 58.275
CELL_PARAMETERS angstrom
4.316 0.000 0.000
-2.158 3.738 0.000
0.000 0.000 60.004
```

Summary:
space group = P-3m1

# 2
Density functional theory data (PBE-GGA) for an optimized crystal structure of CdI2. Values from VASP.

Cell and atoms, written as Quantum ESPRESSO input:
```
&SYSTEM
  ibrav = 0, nat = 9, ntyp = 2
/
ATOMIC_SPECIES
Cd 112.41 Cd.upf
I 126.90 I.upf
ATOMIC_POSITIONS angstrom
Cd 0.000 0.000 0.000
Cd 0.000 2.491 14.999
Cd 2.157 1.246 7.490
I 0.000 0.000 5.760
I 0.000 0.000 16.729
I 0.000 2.491 1.730
I 0.000 2.491 9.221
I 2.157 1.246 13.268
I 2.157 1.246 20.759
CELL_PARAMETERS angstrom
4.315 0.000 0.000
-2.157 3.737 0.000
0.000 0.000 22.489
```

Summary:
space group = P-3m1

Energy relative to the elements, uncorrected
In order: -0.570; -0.570
Unit: eV/atom